a | First-principles (PBE) data for a relaxed PrNdGaPd crystal, as listed in the Alexandria database.

Output
D(E_F) = 16.494 states/eV/cell
volume = 25.1 Å³/atom

```
data_PrNdGaPd
_chemical_formula_sum 'Pr4 Nd4 Ga4 Pd4'
_cell_length_a 7.3789
_cell_length_b 7.3789
_cell_length_c 7.3789
_cell_angle_alpha 90.00
_cell_angle_beta 90.00
_cell_angle_gamma 90.00
_symmetry_space_group_name_H-M 'F -4 3 m'
_symmetry_Int_Tables_number 216
_symmetry_space_group_name_Hall 'F -4 2 3'
loop_
_atom_site_label
_atom_site_type_symbol
_atom_site_fract_x
_atom_site_fract_y
_atom_site_fract_z
_atom_site_occupancy
Pr1 Pr 0.0000 0.0000 0.0000 1
Nd1 Nd 0.0000 0.0000 0.5000 1
Ga1 Ga 0.2500 0.2500 0.7500 1
Pd1 Pd 0.2500 0.2500 0.2500 1
```

b | First-principles (PBE) data for a relaxed PrNdGaPd crystal, as listed in the Alexandria database.

Output
D(E_F) = 8.837 states/eV/cell
volume = 25.7 Å³/atom

```
data_PrNdGaPd
_chemical_formula_sum 'Pr2 Nd2 Ga2 Pd2'
_cell_length_a 4.4404
_cell_length_b 4.2245
_cell_length_c 10.9811
_cell_angle_alpha 90.00
_cell_angle_beta 90.00
_cell_angle_gamma 90.00
_symmetry_space_group_name_H-M 'A m m 2'
_symmetry_Int_Tables_number 38
_symmetry_space_group_name_Hall 'A 2 -2'
loop_
_atom_site_label
_atom_site_type_symbol
_atom_site_fract_x
_atom_site_fract_y
_atom_site_fract_z
_atom_site_occupancy
Pr1 Pr 0.0000 0.0000 0.0000 1
Nd1 Nd 0.5000 0.0000 0.2821 1
Ga1 Ga 0.5000 0.0000 0.5690 1
Pd1 Pd 0.0000 0.0000 0.7162 1
```

We find b to be the most stable, with the next structure 0.071 eV/atom higher.

a | First-principles (PBE) data for a relaxed NdSmGaPd crystal, as listed in the Alexandria database.

Output
D(E_F) = 9.415 states/eV/cell
volume = 25.0 Å³/atom

```
data_NdSmGaPd
_chemical_formula_sum 'Nd2 Sm2 Ga2 Pd2'
_cell_length_a 4.4912
_cell_length_b 3.9476
_cell_length_c 11.2773
_cell_angle_alpha 90.00
_cell_angle_beta 90.00
_cell_angle_gamma 90.00
_symmetry_space_group_name_H-M 'A m m 2'
_symmetry_Int_Tables_number 38
_symmetry_space_group_name_Hall 'A 2 -2'
loop_
_atom_site_label
_atom_site_type_symbol
_atom_site_fract_x
_atom_site_fract_y
_atom_site_fract_z
_atom_site_occupancy
Nd1 Nd 0.0000 0.0000 0.0000 1
Sm1 Sm 0.5000 0.0000 0.7162 1
Ga1 Ga 0.5000 0.0000 0.4303 1
Pd1 Pd 0.0000 0.0000 0.2827 1
```

b | First-principles (PBE) data for a relaxed NdSmGaPd crystal, as listed in the Alexandria database.

Output
D(E_F) = 16.173 states/eV/cell
volume = 24.4 Å³/atom

```
data_NdSmGaPd
_chemical_formula_sum 'Nd4 Sm4 Ga4 Pd4'
_cell_length_a 7.3058
_cell_length_b 7.3058
_cell_length_c 7.3058
_cell_angle_alpha 90.00
_cell_angle_beta 90.00
_cell_angle_gamma 90.00
_symmetry_space_group_name_H-M 'F -4 3 m'
_symmetry_Int_Tables_number 216
_symmetry_space_group_name_Hall 'F -4 2 3'
loop_
_atom_site_label
_atom_site_type_symbol
_atom_site_fract_x
_atom_site_fract_y
_atom_site_fract_z
_atom_site_occupancy
Nd1 Nd 0.0000 0.0000 0.0000 1
Sm1 Sm 0.0000 0.0000 0.5000 1
Ga1 Ga 0.2500 0.2500 0.7500 1
Pd1 Pd 0.2500 0.2500 0.2500 1
```

We find a to be the most stable, with the next structure 0.060 eV/atom higher.

a | First-principles (PBE) data for a relaxed TbNdGaPd crystal, as listed in the Alexandria database.

Output
D(E_F) = 14.888 states/eV/cell
volume = 23.8 Å³/atom

```
data_TbNdGaPd
_chemical_formula_sum 'Tb4 Nd4 Ga4 Pd4'
_cell_length_a 7.2457
_cell_length_b 7.2457
_cell_length_c 7.2457
_cell_angle_alpha 90.00
_cell_angle_beta 90.00
_cell_angle_gamma 90.00
_symmetry_space_group_name_H-M 'F -4 3 m'
_symmetry_Int_Tables_number 216
_symmetry_space_group_name_Hall 'F -4 2 3'
loop_
_atom_site_label
_atom_site_type_symbol
_atom_site_fract_x
_atom_site_fract_y
_atom_site_fract_z
_atom_site_occupancy
Tb1 Tb 0.0000 0.0000 0.0000 1
Nd1 Nd 0.0000 0.0000 0.5000 1
Ga1 Ga 0.2500 0.2500 0.2500 1
Pd1 Pd 0.2500 0.2500 0.7500 1
```

b | First-principles (PBE) data for a relaxed TbNdGaPd crystal, as listed in the Alexandria database.

Output
D(E_F) = 8.528 states/eV/cell
volume = 24.4 Å³/atom

```
data_TbNdGaPd
_chemical_formula_sum 'Tb2 Nd2 Ga2 Pd2'
_cell_length_a 4.4803
_cell_length_b 3.8600
_cell_length_c 11.2823
_cell_angle_alpha 90.00
_cell_angle_beta 90.00
_cell_angle_gamma 90.00
_symmetry_space_group_name_H-M 'A m m 2'
_symmetry_Int_Tables_number 38
_symmetry_space_group_name_Hall 'A 2 -2'
loop_
_atom_site_label
_atom_site_type_symbol
_atom_site_fract_x
_atom_site_fract_y
_atom_site_fract_z
_atom_site_occupancy
Tb1 Tb 0.0000 0.0000 0.0000 1
Nd1 Nd 0.5000 0.0000 0.7149 1
Ga1 Ga 0.0000 0.0000 0.2879 1
Pd1 Pd 0.5000 0.0000 0.4365 1
```

We find b to be the most stable, with the next structure 0.052 eV/atom higher.

a | First-principles (PBE) data for a relaxed NdYGaPd crystal, as listed in the Alexandria database.

Output
D(E_F) = 13.697 states/eV/cell
volume = 23.7 Å³/atom

```
data_NdYGaPd
_chemical_formula_sum 'Nd4 Y4 Ga4 Pd4'
_cell_length_a 7.2394
_cell_length_b 7.2394
_cell_length_c 7.2394
_cell_angle_alpha 90.00
_cell_angle_beta 90.00
_cell_angle_gamma 90.00
_symmetry_space_group_name_H-M 'F -4 3 m'
_symmetry_Int_Tables_number 216
_symmetry_space_group_name_Hall 'F -4 2 3'
loop_
_atom_site_label
_atom_site_type_symbol
_atom_site_fract_x
_atom_site_fract_y
_atom_site_fract_z
_atom_site_occupancy
Nd1 Nd 0.0000 0.0000 0.0000 1
Y1 Y 0.0000 0.0000 0.5000 1
Ga1 Ga 0.2500 0.2500 0.2500 1
Pd1 Pd 0.2500 0.2500 0.7500 1
```

b | First-principles (PBE) data for a relaxed NdYGaPd crystal, as listed in the Alexandria database.

Output
D(E_F) = 8.351 states/eV/cell
volume = 24.4 Å³/atom

```
data_NdYGaPd
_chemical_formula_sum 'Nd2 Y2 Ga2 Pd2'
_cell_length_a 4.5156
_cell_length_b 3.8619
_cell_length_c 11.1822
_cell_angle_alpha 90.00
_cell_angle_beta 90.00
_cell_angle_gamma 90.00
_symmetry_space_group_name_H-M 'A m m 2'
_symmetry_Int_Tables_number 38
_symmetry_space_group_name_Hall 'A 2 -2'
loop_
_atom_site_label
_atom_site_type_symbol
_atom_site_fract_x
_atom_site_fract_y
_atom_site_fract_z
_atom_site_occupancy
Nd1 Nd 0.0000 0.0000 0.0000 1
Y1 Y 0.5000 0.0000 0.2847 1
Ga1 Ga 0.5000 0.0000 0.5716 1
Pd1 Pd 0.0000 0.0000 0.7198 1
```

We find b to be the most stable, with the next structure 0.049 eV/atom higher.